No. 1
## HfIn (PBE)

Data for a relaxed structure of HfIn.

```
data_HfIn
_space_group_name_H-M_alt 'P n m a'
_space_group_IT_number 62
_cell_length_a 12.1845
_cell_length_b 4.7765
_cell_length_c 6.0632
_cell_angle_alpha 90.00
_cell_angle_beta 90.00
_cell_angle_gamma 90.00
loop_
_space_group_symop_operation_xyz
'x,y,z'
'-x,-y,-z'
'-x+1/2,-y,z+1/2'
'x+1/2,y,-z+1/2'
'x+1/2,-y+1/2,-z+1/2'
'-x+1/2,y+1/2,z+1/2'
'-x,y+1/2,-z'
'x,-y+1/2,z'
loop_
_atom_site_label
_atom_site_type_symbol
_atom_site_fract_x
_atom_site_fract_y
_atom_site_fract_z
Hf1 Hf 0.0704 0.2500 0.1335
Hf2 Hf 0.1841 0.7500 0.3853
In1 In 0.0674 0.2500 0.6341
In2 In 0.1786 0.7500 0.8881
```

Results
- calculated formation energy (eV per formula unit) = -0.113

***

No. 2
## HfIn (PBE)

Data for a relaxed structure of HfIn.

```
data_HfIn
_space_group_name_H-M_alt 'P 4/m n c'
_space_group_IT_number 128
_space_group_name_Hall '-P 4 2n'
_cell_length_a 9.3394
_cell_length_b 9.3394
_cell_length_c 4.4873
_cell_angle_alpha 90.00
_cell_angle_beta 90.00
_cell_angle_gamma 90.00
loop_
_atom_site_label
_atom_site_type_symbol
_atom_site_fract_x
_atom_site_fract_y
_atom_site_fract_z
Hf1 Hf 0.1456 0.1866 0.0000
In1 In 0.0260 0.6952 0.5000
```

Results
- calculated formation energy (eV per formula unit) = 0.324

***

No. 3
## Hf4In (PBE)

Data for a relaxed structure of Hf4In.

```
data_Hf4In
_space_group_name_H-M_alt 'P 1 21/c 1'
_space_group_IT_number 14
_cell_length_a 5.5971
_cell_length_b 5.3621
_cell_length_c 8.1208
_cell_angle_alpha 90.00
_cell_angle_beta 113.10
_cell_angle_gamma 90.00
loop_
_space_group_symop_operation_xyz
'x,y,z'
'-x,-y,-z'
'-x,y+1/2,-z+1/2'
'x,-y+1/2,z+1/2'
loop_
_atom_site_label
_atom_site_type_symbol
_atom_site_fract_x
_atom_site_fract_y
_atom_site_fract_z
Hf1 Hf 0.0820 0.0654 0.1962
Hf2 Hf 0.2930 0.5302 0.0897
In1 In 0.5000 0.0000 0.0000
```

Results
- calculated formation energy (eV per formula unit) = 0.104
- offset from the most stable computed form (eV/atom) = 0.0007

***

No. 4
## Hf4In2Ir (PBE)

Data for a relaxed structure of Hf4In2Ir.

```
data_Hf4In2Ir
_space_group_name_H-M_alt 'I 4/m m m'
_space_group_IT_number 139
_space_group_name_Hall '-I 4 2'
_cell_length_a 4.9318
_cell_length_b 4.9318
_cell_length_c 15.0017
_cell_angle_alpha 90.00
_cell_angle_beta 90.00
_cell_angle_gamma 90.00
loop_
_atom_site_label
_atom_site_type_symbol
_atom_site_fract_x
_atom_site_fract_y
_atom_site_fract_z
Hf1 Hf 0.0000 0.0000 0.1720
Hf2 Hf 0.0000 0.5000 0.0000
In1 In 0.0000 0.0000 0.3659
Ir1 Ir 0.0000 0.0000 0.0000
```

Results
- calculated formation energy (eV per formula unit) = 1.643